No. 1
! Re2H2Ru PBE optimized geometry; values from VASP
! electronic total energy: -0.580 Ry/atom
! E above lowest polymorph: 0 meV per atom
! size of the total moment: 0.00 μB per formula unit
&SYSTEM
  ibrav = 0, nat = 5, ntyp = 3
/
ATOMIC_SPECIES
Re 186.21 Re.upf
H 1.01 H.upf
Ru 101.07 Ru.upf
CELL_PARAMETERS angstrom
2.8695 0.0000 0.0000
0.0000 2.8695 0.0000
1.4348 1.4348 5.9997
ATOMIC_POSITIONS crystal
Re 0.3491 0.3491 0.3019
Re 0.6509 0.6509 0.6981
H 0.7500 0.2500 0.5000
H 0.2500 0.7500 0.5000
Ru 0.0000 0.0000 0.0000

***

No. 2
! Re2H2Ru PBE optimized geometry; values from VASP
! electronic total energy: -0.571 Ry/atom
! E above lowest polymorph: 125 meV per atom
! size of the total moment: 0.00 μB per formula unit
&SYSTEM
  ibrav = 0, nat = 10, ntyp = 3
/
ATOMIC_SPECIES
Re 186.21 Re.upf
H 1.01 H.upf
Ru 101.07 Ru.upf
CELL_PARAMETERS angstrom
6.0350 0.0000 0.0000
0.0000 6.0350 0.0000
0.0000 0.0000 2.8074
ATOMIC_POSITIONS crystal
Re 0.1383 0.6383 0.5000
Re 0.6383 0.8617 0.5000
Re 0.8617 0.3617 0.5000
Re 0.3617 0.1383 0.5000
H 0.2971 0.7971 0.0000
H 0.7971 0.7029 0.0000
H 0.7029 0.2029 0.0000
H 0.2029 0.2971 0.0000
Ru 0.0000 0.0000 0.0000
Ru 0.5000 0.5000 0.0000

***

No. 3
! ReH3Ru PBE optimized geometry; values from VASP
! electronic total energy: -0.422 Ry/atom
! E above lowest polymorph: 0 meV per atom
! size of the total moment: 0.00 μB per formula unit
&SYSTEM
  ibrav = 0, nat = 5, ntyp = 3
/
ATOMIC_SPECIES
Re 186.21 Re.upf
H 1.01 H.upf
Ru 101.07 Ru.upf
CELL_PARAMETERS angstrom
-2.4321 -1.6997 1.6097
2.1230 -2.5796 0.4838
0.9865 1.3609 2.9275
ATOMIC_POSITIONS crystal
Re 0.5000 0.5000 0.5000
H 0.0000 0.5000 0.0000
H 0.0000 0.0000 0.5000
H 0.5000 0.0000 0.0000
Ru 0.0000 0.0000 0.0000

***

No. 4
! ReHRu PBE optimized geometry; values from VASP
! electronic total energy: -0.604 Ry/atom
! E above lowest polymorph: 0 meV per atom
! size of the total moment: 0.00 μB per formula unit
&SYSTEM
  ibrav = 0, nat = 12, ntyp = 3
/
ATOMIC_SPECIES
Re 186.21 Re.upf
H 1.01 H.upf
Ru 101.07 Ru.upf
CELL_PARAMETERS angstrom
4.3566 0.0000 0.0000
0.0000 5.8628 0.0000
0.0000 0.0000 4.9526
ATOMIC_POSITIONS crystal
Re 0.2500 0.8891 0.5891
Re 0.7500 0.3891 0.9109
Re 0.7500 0.1109 0.4109
Re 0.2500 0.6109 0.0891
H 0.2500 0.8848 0.2353
H 0.2500 0.6152 0.7353
H 0.7500 0.1152 0.7647
H 0.7500 0.3848 0.2647
Ru 0.7500 0.6398 0.4274
Ru 0.2500 0.1398 0.0726
Ru 0.7500 0.8602 0.9274
Ru 0.2500 0.3602 0.5726

***

No. 5
! ReH3Ru PBE optimized geometry; values from VASP
! electronic total energy: -0.417 Ry/atom
! E above lowest polymorph: 72 meV per atom
! size of the total moment: 1.15 μB per formula unit
&SYSTEM
  ibrav = 0, nat = 5, ntyp = 3
/
ATOMIC_SPECIES
Re 186.21 Re.upf
H 1.01 H.upf
Ru 101.07 Ru.upf
CELL_PARAMETERS angstrom
-1.1916 -2.6174 1.8785
1.9967 0.9718 2.6207
-2.5283 2.0010 1.1843
ATOMIC_POSITIONS crystal
Re 0.0000 0.0000 0.0000
H 0.0000 0.5000 0.0000
H 0.0000 0.0000 0.5000
H 0.5000 0.0000 0.0000
Ru 0.5000 0.5000 0.5000

***

No. 6
! Ta2ReHRu PBE optimized geometry; values from VASP
! electronic total energy: -0.730 Ry/atom
! E above lowest polymorph: 0 meV per atom
! size of the total moment: 0.00 μB per formula unit
&SYSTEM
  ibrav = 0, nat = 5, ntyp = 4
/
ATOMIC_SPECIES
Re 186.21 Re.upf
Ru 101.07 Ru.upf
H 1.01 H.upf
Ta 180.95 Ta.upf
CELL_PARAMETERS angstrom
-0.2573 -3.1810 3.0313
3.8652 -1.6080 -1.3593
1.6545 2.0446 2.2860
ATOMIC_POSITIONS crystal
Re 0.5000 0.5000 0.5000
Ru 0.0000 0.0000 0.5000
H 0.0000 0.0000 0.0000
Ta 0.0000 0.5000 0.0000
Ta 0.5000 0.0000 0.0000

***

No. 7
! Ta2ReHRu PBE optimized geometry; values from VASP
! electronic total energy: -0.725 Ry/atom
! E above lowest polymorph: 76 meV per atom
! size of the total moment: 0.00 μB per formula unit
&SYSTEM
  ibrav = 0, nat = 5, ntyp = 4
/
ATOMIC_SPECIES
Re 186.21 Re.upf
Ru 101.07 Ru.upf
H 1.01 H.upf
Ta 180.95 Ta.upf
CELL_PARAMETERS angstrom
-0.1538 -3.0157 3.1326
1.4379 -2.9935 -2.8112
3.3787 0.7706 0.9077
ATOMIC_POSITIONS crystal
Re 0.0000 0.0000 0.5000
Ru 0.5000 0.5000 0.5000
H 0.0000 0.0000 0.0000
Ta 0.0000 0.5000 0.0000
Ta 0.5000 0.0000 0.0000

***

No. 8
! TaRe2HRu PBE optimized geometry; values from VASP
! electronic total energy: -0.725 Ry/atom
! E above lowest polymorph: 19 meV per atom
! size of the total moment: 0.00 μB per formula unit
&SYSTEM
  ibrav = 0, nat = 5, ntyp = 4
/
ATOMIC_SPECIES
Re 186.21 Re.upf
Ru 101.07 Ru.upf
H 1.01 H.upf
Ta 180.95 Ta.upf
CELL_PARAMETERS angstrom
-1.2364 -3.6251 0.9965
3.6584 -0.9182 1.1986
-0.8925 1.3343 3.7465
ATOMIC_POSITIONS crystal
Re 0.0000 0.5000 0.0000
Re 0.5000 0.0000 0.0000
Ru 0.5000 0.5000 0.5000
H 0.0000 0.0000 0.0000
Ta 0.0000 0.0000 0.5000

***

No. 9
! TaRe2HRu PBE optimized geometry; values from VASP
! electronic total energy: -0.726 Ry/atom
! E above lowest polymorph: 0 meV per atom
! size of the total moment: 0.00 μB per formula unit
&SYSTEM
  ibrav = 0, nat = 5, ntyp = 4
/
ATOMIC_SPECIES
Re 186.21 Re.upf
Ru 101.07 Ru.upf
H 1.01 H.upf
Ta 180.95 Ta.upf
CELL_PARAMETERS angstrom
3.9916 0.0000 0.0000
0.0000 3.9916 0.0000
0.0000 0.0000 4.0047
ATOMIC_POSITIONS crystal
Re 0.0000 0.5000 0.0000
Re 0.5000 0.0000 0.0000
Ru 0.0000 0.0000 0.5000
H 0.0000 0.0000 0.0000
Ta 0.5000 0.5000 0.5000

***

No. 10
! ReTcHRu2 PBE optimized geometry; values from VASP
! electronic total energy: -0.655 Ry/atom
! E above lowest polymorph: 0 meV per atom
! size of the total moment: 0.00 μB per formula unit
&SYSTEM
  ibrav = 0, nat = 5, ntyp = 4
/
ATOMIC_SPECIES
Re 186.21 Re.upf
Tc 98.00 Tc.upf
H 1.01 H.upf
Ru 101.07 Ru.upf
CELL_PARAMETERS angstrom
3.8800 0.0000 0.0000
0.0000 3.8800 0.0000
0.0000 0.0000 3.9348
ATOMIC_POSITIONS crystal
Re 0.5000 0.5000 0.5000
Tc 0.0000 0.0000 0.5000
H 0.0000 0.0000 0.0000
Ru 0.0000 0.5000 0.0000
Ru 0.5000 0.0000 0.0000

***

No. 11
! ReTcHRu2 PBE optimized geometry; values from VASP
! electronic total energy: -0.652 Ry/atom
! E above lowest polymorph: 41 meV per atom
! size of the total moment: 0.00 μB per formula unit
&SYSTEM
  ibrav = 0, nat = 5, ntyp = 4
/
ATOMIC_SPECIES
Re 186.21 Re.upf
Tc 98.00 Tc.upf
H 1.01 H.upf
Ru 101.07 Ru.upf
CELL_PARAMETERS angstrom
3.8774 0.0000 0.0000
0.0000 3.8774 0.0000
0.0000 0.0000 3.9519
ATOMIC_POSITIONS crystal
Re 0.0000 0.0000 0.5000
Tc 0.5000 0.5000 0.5000
H 0.0000 0.0000 0.0000
Ru 0.0000 0.5000 0.0000
Ru 0.5000 0.0000 0.0000

***

No. 12
! VReHRu2 PBE optimized geometry; values from VASP
! electronic total energy: -0.639 Ry/atom
! E above lowest polymorph: 63 meV per atom
! size of the total moment: 0.00 μB per formula unit
&SYSTEM
  ibrav = 0, nat = 5, ntyp = 4
/
ATOMIC_SPECIES
Re 186.21 Re.upf
V 50.94 V.upf
H 1.01 H.upf
Ru 101.07 Ru.upf
CELL_PARAMETERS angstrom
-0.7253 -3.6368 -1.1447
1.8961 -1.3550 3.1035
-3.3193 0.0208 2.0371
ATOMIC_POSITIONS crystal
Re 0.0000 0.0000 0.5000
V 0.5000 0.5000 0.5000
H 0.0000 0.0000 0.0000
Ru 0.0000 0.5000 0.0000
Ru 0.5000 0.0000 0.0000

***

No. 13
! VReHRu2 PBE optimized geometry; values from VASP
! electronic total energy: -0.643 Ry/atom
! E above lowest polymorph: 0 meV per atom
! size of the total moment: 0.00 μB per formula unit
&SYSTEM
  ibrav = 0, nat = 5, ntyp = 4
/
ATOMIC_SPECIES
Re 186.21 Re.upf
V 50.94 V.upf
H 1.01 H.upf
Ru 101.07 Ru.upf
CELL_PARAMETERS angstrom
-2.7274 1.3958 -2.3757
1.7684 -1.6768 -3.0153
-2.1072 -3.1959 0.5414
ATOMIC_POSITIONS crystal
Re 0.5000 0.5000 0.5000
V 0.0000 0.0000 0.5000
H 0.0000 0.0000 0.0000
Ru 0.0000 0.5000 0.0000
Ru 0.5000 0.0000 0.0000

***

No. 14
! VRe2HRu PBE optimized geometry; values from VASP
! electronic total energy: -0.683 Ry/atom
! size of the total moment: 0.00 μB per formula unit
&SYSTEM
  ibrav = 0, nat = 5, ntyp = 4
/
ATOMIC_SPECIES
Re 186.21 Re.upf
V 50.94 V.upf
H 1.01 H.upf
Ru 101.07 Ru.upf
CELL_PARAMETERS angstrom
3.9042 0.0000 0.0000
0.0000 3.9042 0.0000
0.0000 0.0000 3.9033
ATOMIC_POSITIONS crystal
Re 0.0000 0.5000 0.0000
Re 0.5000 0.0000 0.0000
V 0.0000 0.0000 0.5000
H 0.0000 0.0000 0.0000
Ru 0.5000 0.5000 0.5000

***

No. 15
! Re2HRuW PBE optimized geometry; values from VASP
! electronic total energy: -0.735 Ry/atom
! E above lowest polymorph: 0 meV per atom
! size of the total moment: 0.00 μB per formula unit
&SYSTEM
  ibrav = 0, nat = 5, ntyp = 4
/
ATOMIC_SPECIES
Re 186.21 Re.upf
H 1.01 H.upf
W 183.84 W.upf
Ru 101.07 Ru.upf
CELL_PARAMETERS angstrom
-0.5578 -2.2030 3.2482
-1.8655 -2.7377 -2.1772
3.4349 -1.8252 -0.6480
ATOMIC_POSITIONS crystal
Re 0.0000 0.5000 0.0000
Re 0.5000 0.0000 0.0000
H 0.0000 0.0000 0.0000
W 0.5000 0.5000 0.5000
Ru 0.0000 0.0000 0.5000

***

No. 16
! ReHRuW2 PBE optimized geometry; values from VASP
! electronic total energy: -0.738 Ry/atom
! E above lowest polymorph: 31 meV per atom
! size of the total moment: 0.00 μB per formula unit
&SYSTEM
  ibrav = 0, nat = 5, ntyp = 4
/
ATOMIC_SPECIES
Re 186.21 Re.upf
H 1.01 H.upf
W 183.84 W.upf
Ru 101.07 Ru.upf
CELL_PARAMETERS angstrom
-1.6056 1.8442 3.1797
-0.1373 -3.4975 1.9592
3.6074 0.6633 1.4369
ATOMIC_POSITIONS crystal
Re 0.0000 0.0000 0.5000
H 0.0000 0.0000 0.0000
W 0.0000 0.5000 0.0000
W 0.5000 0.0000 0.0000
Ru 0.5000 0.5000 0.5000

***

No. 17
! ReHRuW2 PBE optimized geometry; values from VASP
! electronic total energy: -0.740 Ry/atom
! E above lowest polymorph: 0 meV per atom
! size of the total moment: 0.00 μB per formula unit
&SYSTEM
  ibrav = 0, nat = 5, ntyp = 4
/
ATOMIC_SPECIES
Re 186.21 Re.upf
H 1.01 H.upf
W 183.84 W.upf
Ru 101.07 Ru.upf
CELL_PARAMETERS angstrom
-2.1541 -2.7615 -1.9622
0.6344 -2.6130 2.9809
-3.2516 1.2600 1.7964
ATOMIC_POSITIONS crystal
Re 0.5000 0.5000 0.5000
H 0.0000 0.0000 0.0000
W 0.0000 0.5000 0.0000
W 0.5000 0.0000 0.0000
Ru 0.0000 0.0000 0.5000

***

No. 18
! Re2HRuW PBE optimized geometry; values from VASP
! electronic total energy: -0.732 Ry/atom
! E above lowest polymorph: 43 meV per atom
! size of the total moment: 0.00 μB per formula unit
&SYSTEM
  ibrav = 0, nat = 5, ntyp = 4
/
ATOMIC_SPECIES
Re 186.21 Re.upf
H 1.01 H.upf
W 183.84 W.upf
Ru 101.07 Ru.upf
CELL_PARAMETERS angstrom
-1.7016 0.0481 3.5555
3.0323 -2.0392 1.4787
1.8839 3.4217 0.8553
ATOMIC_POSITIONS crystal
Re 0.0000 0.5000 0.0000
Re 0.5000 0.0000 0.0000
H 0.0000 0.0000 0.0000
W 0.0000 0.0000 0.5000
Ru 0.5000 0.5000 0.5000

***

No. 19
! Zr2ReHRu PBE optimized geometry; values from VASP
! electronic total energy: -0.646 Ry/atom
! size of the total moment: 0.00 μB per formula unit
&SYSTEM
  ibrav = 0, nat = 5, ntyp = 4
/
ATOMIC_SPECIES
Re 186.21 Re.upf
H 1.01 H.upf
Zr 91.22 Zr.upf
Ru 101.07 Ru.upf
CELL_PARAMETERS angstrom
4.6363 0.0000 0.0000
0.0000 4.6363 0.0000
0.0000 0.0000 3.4599
ATOMIC_POSITIONS crystal
Re 0.5000 0.5000 0.5000
H 0.0000 0.0000 0.0000
Zr 0.0000 0.5000 0.0000
Zr 0.5000 0.0000 0.0000
Ru 0.0000 0.0000 0.5000

***

No. 20
! ReH3S PBE optimized geometry; values from VASP
! electronic total energy: -0.328 Ry/atom
! E above lowest polymorph: 0 meV per atom
! size of the total moment: 0.00 μB per formula unit
&SYSTEM
  ibrav = 0, nat = 5, ntyp = 3
/
ATOMIC_SPECIES
Re 186.21 Re.upf
S 32.06 S.upf
H 1.01 H.upf
CELL_PARAMETERS angstrom
3.5245 0.0000 0.0000
0.0000 3.5245 0.0000
0.0000 0.0000 3.5245
ATOMIC_POSITIONS crystal
Re 0.0000 0.0000 0.0000
S 0.5000 0.5000 0.5000
H 0.0000 0.5000 0.0000
H 0.0000 0.0000 0.5000
H 0.5000 0.0000 0.0000